No. 1
The following is a DFT calculation (PBE) of crystalline Fe2PtW at its relaxed geometry.

Values from the calculation:
Calculated total energy ... -8.976 eV per atom
Distance to the lowest polymorph of the same formula ... 102 meV/atom
M_tot ... 1.053 μB per atom
SG ... Cm
Energy of formation ... 4 meV per atom

Cell: 4.672 4.672 4.620 Å, 80.88 80.88 33.65°
Element x y z (fractional)
Fe 0.751 0.751 0.758
Fe 0.004 0.004 0.992
W 0.248 0.248 0.246
Pt 0.497 0.497 0.504

No. 2
The following is a DFT calculation (PBE) of crystalline Fe2PtW at its relaxed geometry.

Values from the calculation:
Calculated total energy ... -8.917 eV per atom
Distance to the lowest polymorph of the same formula ... 161 meV/atom
M_tot ... 1.238 μB per atom
SG ... P2/m
Energy of formation ... 63 meV per atom

Cell: 4.331 2.656 4.948 Å, 83.96 90.00 90.00°
Element x y z (fractional)
W 0.500 0.750 0.750
Fe 0.000 0.487 0.515
Fe 0.000 0.013 0.985
Pt 0.500 0.250 0.250

No. 3
The following is a DFT calculation (PBE) of crystalline FePt2W at its relaxed geometry.

Values from the calculation:
Calculated total energy ... -8.505 eV per atom
M_tot ... 0.730 μB per atom
SG ... P4mm
Energy of formation ... -131 meV per atom

Cell: 2.739 2.739 7.911 Å, 90.00 90.00 90.04°
Element x y z (fractional)
Pt 0.500 0.500 0.257
Pt 0.000 0.000 0.982
W 0.000 0.000 0.507
Fe 0.500 0.500 0.754

No. 4
The following is a DFT calculation (PBE) of crystalline Fe2PtW at its relaxed geometry.

Values from the calculation:
Calculated total energy ... -8.856 eV per atom
Distance to the lowest polymorph of the same formula ... 222 meV/atom
M_tot ... 1.206 μB per atom
SG ... F-43m
Energy of formation ... 124 meV per atom

Cell: 4.304 4.304 4.304 Å, 60.00 60.00 60.00°
Element x y z (fractional)
Fe 0.250 0.250 0.250
Fe 0.000 0.000 0.000
W 0.750 0.750 0.750
Pt 0.500 0.500 0.500

No. 5
The following is a DFT calculation (PBE) of crystalline FePtW at its relaxed geometry.

Values from the calculation:
Calculated total energy ... -9.197 eV per atom
Distance to the lowest polymorph of the same formula ... 52 meV/atom
M_tot ... 0.779 μB per atom
SG ... P-6m2
Energy of formation ... -45 meV per atom

Cell: 4.339 4.339 2.666 Å, 90.00 90.00 120.00°
Element x y z (fractional)
Fe 0.000 0.000 0.165
Pt 0.333 0.667 0.167
W 0.667 0.333 0.667

No. 6
The following is a DFT calculation (PBE) of crystalline FePtW2 at its relaxed geometry.

Values from the calculation:
Calculated total energy ... -10.165 eV per atom
Distance to the lowest polymorph of the same formula ... 0 meV/atom
M_tot ... 0.000 μB per atom
SG ... P4/mmm
Energy of formation ... -63 meV per atom

Cell: 3.850 3.850 3.906 Å, 90.00 90.00 90.00°
Element x y z (fractional)
W 0.000 0.000 0.000
W 0.500 0.500 0.000
Pt 0.000 0.500 0.500
Fe 0.500 0.000 0.500

- Look up the energy of formation of the sixth one.
  -63 meV per atom

- The lowest energy of formation belongs to which entry?
  FePt2W

- The lowest calculated total energy belongs to which entry?
  FePtW2